Computed, not measured: a relaxed structure of EuY2S4 at the GGA-PBE level of DFT.

```
data_EuY2S4
_chemical_formula_sum 'Eu4 Y8 S16'
_cell_length_a 8.474
_cell_length_b 8.474
_cell_length_c 8.430
_cell_angle_alpha 90.00
_cell_angle_beta 90.00
_cell_angle_gamma 90.00
_symmetry_space_group_name_H-M 'I -4 2 d'
_symmetry_Int_Tables_number 122
_symmetry_space_group_name_Hall 'I -4 2bw'
loop_
_atom_site_label
_atom_site_fract_x
_atom_site_fract_y
_atom_site_fract_z
Eu1 0.000 0.000 0.000
Y1 0.122 0.750 0.625
S1 0.073 0.675 0.939
```


Computed, not measured: a relaxed structure of EuZrS3 at the GGA-PBE level of DFT.

```
data_EuZrS3
_chemical_formula_sum 'Eu4 Zr4 S12'
_cell_length_a 7.174
_cell_length_b 9.722
_cell_length_c 6.645
_cell_angle_alpha 90.00
_cell_angle_beta 90.00
_cell_angle_gamma 90.00
_symmetry_space_group_name_H-M 'P n m a'
_symmetry_Int_Tables_number 62
loop_
_symmetry_equiv_pos_as_xyz
'x,y,z'
'-x,-y,-z'
'-x+1/2,-y,z+1/2'
'x+1/2,y,-z+1/2'
'x+1/2,-y+1/2,-z+1/2'
'-x+1/2,y+1/2,z+1/2'
'-x,y+1/2,-z'
'x,-y+1/2,z'
loop_
_atom_site_label
_atom_site_fract_x
_atom_site_fract_y
_atom_site_fract_z
Eu1 0.093 0.250 0.033
Zr1 0.000 0.000 0.500
S1 0.027 0.750 0.385
S2 0.192 0.558 0.816
```

Computed properties:
Excess energy over the best structure of this formula in the dataset: 0 meV/atom


Computed, not measured: a relaxed structure of EuZrS2 at the GGA-PBE level of DFT.

```
data_EuZrS2
_chemical_formula_sum 'Eu3 Zr3 S6'
_cell_length_a 3.8603
_cell_length_b 3.8603
_cell_length_c 19.3274
_cell_angle_alpha 90.00
_cell_angle_beta 90.00
_cell_angle_gamma 120.00
_symmetry_space_group_name_H-M 'R -3 m'
_symmetry_Int_Tables_number 166
_symmetry_space_group_name_Hall '-R 3 2"'
loop_
_atom_site_label
_atom_site_fract_x
_atom_site_fract_y
_atom_site_fract_z
Eu1 0.0000 0.0000 0.0000
Zr1 0.0000 0.0000 0.5000
S1 0.0000 0.0000 0.2420
```


Computed, not measured: a relaxed structure of EuZrS3 at the GGA-PBE level of DFT.

```
data_EuZrS3
_chemical_formula_sum 'Eu1 Zr1 S3'
_cell_length_a 4.997
_cell_length_b 4.997
_cell_length_c 4.997
_cell_angle_alpha 90.00
_cell_angle_beta 90.00
_cell_angle_gamma 90.00
_symmetry_space_group_name_H-M 'P m -3 m'
_symmetry_Int_Tables_number 221
_symmetry_space_group_name_Hall '-P 4 2 3'
loop_
_atom_site_label
_atom_site_fract_x
_atom_site_fract_y
_atom_site_fract_z
Eu1 0.000 0.000 0.000
Zr1 0.500 0.500 0.500
S1 0.000 0.500 0.500
```

Computed properties:
Excess energy over the best structure of this formula in the dataset: 217 meV/atom


Computed, not measured: a relaxed structure of Eu5Zr3S12 at the GGA-PBE level of DFT.

```
data_Eu5Zr3S12
_chemical_formula_sum 'Eu5 Zr3 S12'
_cell_length_a 11.7505
_cell_length_b 11.7505
_cell_length_c 3.9146
_cell_angle_alpha 90.00
_cell_angle_beta 90.00
_cell_angle_gamma 120.00
_symmetry_space_group_name_H-M 'P -6 2 m'
_symmetry_Int_Tables_number 189
_symmetry_space_group_name_Hall 'P -6 -2'
loop_
_atom_site_label
_atom_site_fract_x
_atom_site_fract_y
_atom_site_fract_z
Eu1 0.0000 0.7136 0.0000
Eu2 0.3333 0.6667 0.0000
Zr1 0.0000 0.3247 0.5000
S1 0.0000 0.1769 0.0000
S2 0.0000 0.4674 0.0000
S3 0.1961 0.7476 0.5000
```


Computed, not measured: a relaxed structure of EuSb2 at the GGA-PBE level of DFT.

```
data_EuSb2
_chemical_formula_sum 'Eu2 Sb4'
_cell_length_a 6.232
_cell_length_b 6.262
_cell_length_c 5.366
_cell_angle_alpha 90.00
_cell_angle_beta 116.28
_cell_angle_gamma 90.00
_symmetry_space_group_name_H-M 'C 1 2/m 1'
_symmetry_Int_Tables_number 12
loop_
_symmetry_equiv_pos_as_xyz
'x,y,z'
'-x,-y,-z'
'-x,y,-z'
'x,-y,z'
'x+1/2,y+1/2,z'
'-x+1/2,-y+1/2,-z'
'-x+1/2,y+1/2,-z'
'x+1/2,-y+1/2,z'
loop_
_atom_site_label
_atom_site_fract_x
_atom_site_fract_y
_atom_site_fract_z
Eu1 0.000 0.000 0.000
Sb1 0.113 0.500 0.299
```


Computed, not measured: a relaxed structure of EuSb2 at the GGA-PBE level of DFT.

```
data_EuSb2
_chemical_formula_sum 'Eu2 Sb4'
_cell_length_a 4.664
_cell_length_b 4.390
_cell_length_c 8.836
_cell_angle_alpha 90.00
_cell_angle_beta 105.30
_cell_angle_gamma 90.00
_symmetry_space_group_name_H-M 'P 1 21/m 1'
_symmetry_Int_Tables_number 11
loop_
_symmetry_equiv_pos_as_xyz
'x,y,z'
'-x,-y,-z'
'-x,y+1/2,-z'
'x,-y+1/2,z'
loop_
_atom_site_label
_atom_site_fract_x
_atom_site_fract_y
_atom_site_fract_z
Eu1 0.104 0.250 0.208
Sb1 0.253 0.750 0.507
Sb2 0.439 0.250 0.879
```


Computed, not measured: a relaxed structure of EuSb at the GGA-PBE level of DFT.

```
data_EuSb
_chemical_formula_sum 'Eu1 Sb1'
_cell_length_a 3.946
_cell_length_b 3.946
_cell_length_c 3.946
_cell_angle_alpha 90.00
_cell_angle_beta 90.00
_cell_angle_gamma 90.00
_symmetry_space_group_name_H-M 'P m -3 m'
_symmetry_Int_Tables_number 221
_symmetry_space_group_name_Hall '-P 4 2 3'
loop_
_atom_site_label
_atom_site_fract_x
_atom_site_fract_y
_atom_site_fract_z
Eu1 0.000 0.000 0.000
Sb1 0.500 0.500 0.500
```


Computed, not measured: a relaxed structure of Eu3Sb at the GGA-PBE level of DFT.

```
data_Eu3Sb
_chemical_formula_sum 'Eu6 Sb2'
_cell_length_a 4.390
_cell_length_b 11.762
_cell_length_c 5.413
_cell_angle_alpha 90.00
_cell_angle_beta 90.00
_cell_angle_gamma 90.00
_symmetry_space_group_name_H-M 'I m m 2'
_symmetry_Int_Tables_number 44
loop_
_symmetry_equiv_pos_as_xyz
'x,y,z'
'-x,-y,z'
'-x,y,z'
'x,-y,z'
'x+1/2,y+1/2,z+1/2'
'-x+1/2,-y+1/2,z+1/2'
'-x+1/2,y+1/2,z+1/2'
'x+1/2,-y+1/2,z+1/2'
loop_
_atom_site_label
_atom_site_fract_x
_atom_site_fract_y
_atom_site_fract_z
Eu1 0.000 0.000 0.000
Eu2 0.000 0.210 0.501
Sb1 0.000 0.500 0.999
```

Computed properties:
Excess energy over the best structure of this formula in the dataset: 30 meV/atom


Computed, not measured: a relaxed structure of EuSb3 at the GGA-PBE level of DFT.

```
data_EuSb3
_chemical_formula_sum 'Eu2 Sb6'
_cell_length_a 4.562
_cell_length_b 4.562
_cell_length_c 10.871
_cell_angle_alpha 90.00
_cell_angle_beta 90.00
_cell_angle_gamma 90.00
_symmetry_space_group_name_H-M 'I 4/m m m'
_symmetry_Int_Tables_number 139
_symmetry_space_group_name_Hall '-I 4 2'
loop_
_atom_site_label
_atom_site_fract_x
_atom_site_fract_y
_atom_site_fract_z
Eu1 0.000 0.000 0.000
Sb1 0.000 0.000 0.500
Sb2 0.000 0.500 0.250
```

Computed properties:
Excess energy over the best structure of this formula in the dataset: 33 meV/atom


Computed, not measured: a relaxed structure of Eu3Sb at the GGA-PBE level of DFT.

```
data_Eu3Sb
_chemical_formula_sum 'Eu3 Sb1'
_cell_length_a 5.050
_cell_length_b 5.050
_cell_length_c 5.144
_cell_angle_alpha 90.00
_cell_angle_beta 90.00
_cell_angle_gamma 90.00
_symmetry_space_group_name_H-M 'P 4/m m m'
_symmetry_Int_Tables_number 123
_symmetry_space_group_name_Hall '-P 4 2'
loop_
_atom_site_label
_atom_site_fract_x
_atom_site_fract_y
_atom_site_fract_z
Eu1 0.000 0.000 0.000
Eu2 0.000 0.500 0.500
Sb1 0.500 0.500 0.000
```

Computed properties:
Excess energy over the best structure of this formula in the dataset: 38 meV/atom


Computed, not measured: a relaxed structure of Eu5Sb3 at the GGA-PBE level of DFT.

```
data_Eu5Sb3
_chemical_formula_sum 'Eu10 Sb6'
_cell_length_a 9.4187
_cell_length_b 9.4187
_cell_length_c 7.0079
_cell_angle_alpha 90.00
_cell_angle_beta 90.00
_cell_angle_gamma 120.00
_symmetry_space_group_name_H-M 'P 63/m c m'
_symmetry_Int_Tables_number 193
_symmetry_space_group_name_Hall '-P 6c 2'
loop_
_atom_site_label
_atom_site_fract_x
_atom_site_fract_y
_atom_site_fract_z
Eu1 0.0000 0.2594 0.2500
Eu2 0.3333 0.6667 0.0000
Sb1 0.0000 0.3857 0.7500
```


Taking the records one at a time from the top gives uncorrected energy values of -217.0; -160.6; -102.2; -39.1; -162.7; -40.3; -41.4; -16.1; -74.2; -48.8; -37.1; -143.7 eV/cell.